[1]
PBE SrCa2Rh, relaxed; magnetization = 0.0 μB per cell; energy above the most stable polymorph in this dataset = 353 meV per atom; calculated total energy = -51.090 eV/cell; space group = Fm-3m; calculated formation energy = 0.066 eV per atom
1.0
7.6652 0.0000 0.0000
0.0000 7.6652 0.0000
0.0000 0.0000 7.6652
Sr Ca Rh
4 8 4
direct
0.0000 0.0000 0.0000
0.0000 0.5000 0.5000
0.5000 0.0000 0.5000
0.5000 0.5000 0.0000
0.2500 0.2500 0.2500
0.2500 0.2500 0.7500
0.2500 0.7500 0.2500
0.2500 0.7500 0.7500
0.7500 0.2500 0.2500
0.7500 0.2500 0.7500
0.7500 0.7500 0.2500
0.7500 0.7500 0.7500
0.0000 0.0000 0.5000
0.0000 0.5000 0.0000
0.5000 0.0000 0.0000
0.5000 0.5000 0.5000

[2]
PBE RbLi2Hf3S8, relaxed; magnetization = 0.0 μB per cell; energy relative to the elements, uncorrected = -19.513 eV/f.u.; calculated total energy = -87.189 eV/cell; space group = R3m
1.0
3.6715 2.1197 8.5603
-3.6715 2.1197 8.5603
0.0000 -4.2395 8.5603
Rb Li Hf S
1 2 3 8
direct
0.0000 0.0000 0.0000
0.1538 0.1538 0.1538
0.5839 0.5839 0.5839
0.1518 0.6495 0.6495
0.6495 0.1518 0.6495
0.6495 0.6495 0.1518
0.3782 0.3782 0.8667
0.3782 0.8667 0.3782
0.4267 0.4267 0.4267
0.4418 0.9215 0.9215
0.8667 0.3782 0.3782
0.8739 0.8739 0.8739
0.9215 0.4418 0.9215
0.9215 0.9215 0.4418

[3]
PBE CeUB, relaxed; magnetization = 0.0 μB per cell; calculated total energy = -48.426 eV/cell; space group = P-1; calculated formation energy = -0.104 eV per atom
1.0
3.1496 0.0000 0.0000
-0.0008 3.7977 0.0000
-0.0818 -1.0388 9.2300
Ce U B
2 2 2
direct
0.2481 0.4457 0.3242
0.7519 0.5543 0.6758
0.3244 0.2387 0.9270
0.6756 0.7613 0.0730
0.2502 0.0080 0.5347
0.7498 0.9920 0.4653

[4]
PBE Sm5Tm6Mg, relaxed; magnetization = 0.0 μB per cell; calculated total energy = -51.680 eV/cell; space group = Immm; calculated formation energy = 0.028 eV per atom
1.0
-2.4999 5.0005 7.4617
2.4999 -5.0005 7.4617
2.4999 5.0005 -7.4617
Sm Tm Mg
5 6 1
direct
0.0000 0.0000 0.0000
0.1657 0.6657 0.5000
0.3332 0.3332 0.0000
0.6668 0.6668 0.0000
0.8343 0.3343 0.5000
0.0853 0.8334 0.2520
0.2504 0.5000 0.7504
0.4186 0.1666 0.2520
0.5814 0.8334 0.7480
0.7496 0.5000 0.2496
0.9147 0.1666 0.7480
0.5000 0.0000 0.5000

[5]
PBE K2TlFeH6, relaxed; magnetization = 1.0 μB per cell; calculated total energy = -33.380 eV/cell; space group = Fm-3m
1.0
0.0000 4.0859 4.0859
4.0859 0.0000 4.0859
4.0859 4.0859 0.0000
K Tl Fe H
2 1 1 6
direct
0.2500 0.2500 0.2500
0.7500 0.7500 0.7500
0.0000 0.0000 0.0000
0.5000 0.5000 0.5000
0.3011 0.3011 0.6989
0.3011 0.6989 0.3011
0.3011 0.6989 0.6989
0.6989 0.3011 0.3011
0.6989 0.3011 0.6989
0.6989 0.6989 0.3011

[6]
PBE SmMgCd, relaxed; magnetization = 0.0 μB per cell; calculated total energy = -15.511 eV/cell; space group = I4mm; calculated formation energy = -0.176 eV per atom
1.0
3.4871 0.0000 0.0000
0.0000 3.4871 0.0000
0.0000 0.0000 12.7510
Sm Mg Cd
2 2 2
direct
0.0000 0.0000 0.0000
0.5000 0.5000 0.5000
0.0000 0.0000 0.6888
0.5000 0.5000 0.1888
0.0000 0.0000 0.3275
0.5000 0.5000 0.8275

[7]
PBE Cs6Hg2Au2O, relaxed; magnetization = 0.0 μB per cell; energy relative to the elements, uncorrected = -4.708 eV/f.u.; calculated total energy = -21.946 eV/cell; space group = C2/m
1.0
4.2597 -7.6487 0.0000
4.2597 7.6487 0.0000
-3.5478 0.0000 8.9206
Cs Hg Au O
6 2 2 1
direct
0.0801 0.3543 0.6942
0.2046 0.2046 0.3098
0.3543 0.0801 0.6942
0.6457 0.9199 0.3058
0.7954 0.7954 0.6902
0.9199 0.6457 0.3058
0.1936 0.8064 0.0000
0.8064 0.1936 0.0000
0.3295 0.6705 0.5000
0.6705 0.3295 0.5000
0.0000 0.0000 0.5000

[8]
PBE Tb2ErIn3Te6, relaxed; magnetization = 0.0 μB per cell; energy relative to the elements, uncorrected = -11.628 eV/f.u.; calculated total energy = -52.517 eV/cell; space group = C2/m
1.0
3.8210 -6.6171 0.0000
3.8210 6.6171 0.0000
-2.5469 0.0000 8.1168
Tb Er In Te
2 1 3 6
direct
0.1665 0.8335 0.0000
0.8335 0.1665 0.0000
0.5000 0.5000 0.0000
0.0000 0.0000 0.5000
0.3324 0.6676 0.5000
0.6676 0.3324 0.5000
0.0968 0.4273 0.7816
0.2428 0.2428 0.2195
0.4273 0.0968 0.7816
0.5727 0.9032 0.2184
0.7572 0.7572 0.7805
0.9032 0.5727 0.2184

[9]
PBE CoPbSe2, relaxed; magnetization = 6.8 μB per cell; energy relative to the elements, uncorrected = -0.076 eV/f.u.; calculated total energy = -53.577 eV/cell; space group = R3m
1.0
3.8997 0.0000 0.0000
-1.9498 3.3772 0.0000
0.0000 0.0000 23.4629
Co Pb Se
3 3 6
direct
0.0000 0.0000 0.0000
0.3333 0.6667 0.6667
0.6667 0.3333 0.3333
0.0000 0.0000 0.7665
0.3333 0.6667 0.4332
0.6667 0.3333 0.0999
0.0000 0.0000 0.3079
0.0000 0.0000 0.5046
0.3333 0.6667 0.1713
0.3333 0.6667 0.9746
0.6667 0.3333 0.6412
0.6667 0.3333 0.8379

[10]
PBE K2ZrBr2, relaxed; magnetization = 6.0 μB per cell; energy relative to the elements, uncorrected = -1.670 eV/f.u.; energy above the most stable polymorph in this dataset = 0 meV per atom; calculated total energy = -31.519 eV/cell; space group = P4/mbm
1.0
9.6651 0.0000 0.0000
0.0000 9.6651 0.0000
0.0000 0.0000 3.6353
K Zr Br
4 2 4
direct
0.1384 0.3616 0.0000
0.3616 0.8616 0.0000
0.6384 0.1384 0.0000
0.8616 0.6384 0.0000
0.0000 0.0000 0.0000
0.5000 0.5000 0.0000
0.1571 0.6571 0.5000
0.3429 0.1571 0.5000
0.6571 0.8429 0.5000
0.8429 0.3429 0.5000

[11]
PBE Li2InHPb, relaxed; magnetization = 0.0 μB per cell; energy above the most stable polymorph in this dataset = 0 meV per atom; calculated total energy = -14.290 eV/cell; space group = P4/mmm
1.0
4.3772 0.0000 0.0000
0.0000 4.3772 0.0000
0.0000 0.0000 4.6052
Li In H Pb
2 1 1 1
direct
0.0000 0.5000 0.0000
0.5000 0.0000 0.0000
0.0000 0.0000 0.5000
0.0000 0.0000 0.0000
0.5000 0.5000 0.5000

[12]
PBE BeP2S6, relaxed; magnetization = 0.0 μB per cell; energy relative to the elements, uncorrected = -2.467 eV/f.u.; energy above the most stable polymorph in this dataset = 0 meV per atom; calculated total energy = -83.555 eV/cell; space group = C2/c
1.0
6.1116 -6.1903 0.0000
6.1116 6.1903 0.0000
-2.6393 0.0000 5.0600
Be P S
2 4 12
direct
0.2102 0.7898 0.7500
0.7898 0.2102 0.2500
0.1904 0.3681 0.6727
0.3681 0.1904 0.1727
0.6319 0.8096 0.8273
0.8096 0.6319 0.3273
0.0023 0.1960 0.5690
0.1652 0.5984 0.8803
0.1960 0.0023 0.0690
0.2852 0.4051 0.3908
0.4016 0.8348 0.6197
0.4051 0.2852 0.8908
0.5949 0.7148 0.1092
0.5984 0.1652 0.3803
0.7148 0.5949 0.6092
0.8040 0.9977 0.9310
0.8348 0.4016 0.1197
0.9977 0.8040 0.4310